(1)
# InRe4

A relaxed structure of InRe4 (PBE, Alexandria via LeMat-Bulk).

For the energy relative to the lowest polymorph listed for this composition, the calculation gives 2082 meV per atom. Its volume is 19.80 A^3/atom.

The space group is Im-3m (No. 229) and the conventional cell measures 5.8289, 5.8289 and 5.8289 Å, with angles of 90.00, 90.00 and 90.00 degrees. The distinct sites, in fractional coordinates, are In at (0.0000, 0.0000, 0.0000) and Re at (0.2500, 0.2500, 0.2500).

(2)
# CaCdSn

A relaxed structure of CaCdSn (PBE, Alexandria via LeMat-Bulk).

Its volume is 26.58 A^3/atom.

The space group is Pm (No. 6) and the conventional cell measures 4.8108, 4.5963 and 7.5952 Å, with angles of 90.00, 108.24 and 90.00 degrees. The distinct sites, in fractional coordinates, are Ca at (0.0000, 0.0000, 0.0000), Ca at (0.3152, 0.0000, 0.6297), Cd at (0.4934, 0.5000, 0.9872), Cd at (0.6521, 0.0000, 0.3049), Sn at (0.1578, 0.5000, 0.3180) and Sn at (0.8286, 0.5000, 0.6561).

Total DFT energy (no corrections) for the records above, in order: -8.048, -2.679 eV per atom